1.
A relaxed structure of GeSbI3, computed with PBE.

Lattice parameters (Å, degrees): 5.8157 5.8157 5.8157 90.00 90.00 90.00
Last column: nearest neighbours and their distance in Å.
Fractional positions:
I 0.0000 0.5000 0.0000  2 Ge 2.91
I 0.0000 0.0000 0.5000  2 Ge 2.91
I 0.5000 0.0000 0.0000  2 Ge 2.91
Sb 0.5000 0.5000 0.5000  12 I 4.11
Ge 0.0000 0.0000 0.0000  6 I 2.91

Output
For the energy above the most stable polymorph in this dataset, the calculation gives 0.0000 eV/atom. The calculated total energy is -11.936 eV/cell. The uncorrected formation energy comes out at 0.29 eV/atom.



2.
A relaxed structure of CeCrB14, computed with PBE.

Lattice parameters (Å, degrees): 5.8385 7.3917 7.3917 67.98 66.74 66.74
Last column: nearest neighbours and their distance in Å.
Fractional positions:
Ce 0.2500 0.3774 0.1226  6 B 2.52-2.78
Ce 0.7500 0.6226 0.8774  6 B 2.52-2.78
Cr 0.5000 0.0000 0.5000  8 B 2.19-2.41
Cr 0.0000 0.0000 0.5000  8 B 2.19-2.41
B 0.6670 0.3640 0.3020  6 B 1.79-1.89
B 0.3330 0.6360 0.6980  6 B 1.79-1.89
B 0.1670 0.8020 0.8640  6 B 1.79-1.89
B 0.8330 0.1980 0.1360  6 B 1.79-1.89
B 0.1281 0.2390 0.5048  3 B 1.70-1.71
B 0.8719 0.7610 0.4952  3 B 1.70-1.71
B 0.6281 0.0048 0.7390  3 B 1.70-1.71
B 0.3719 0.9952 0.2610  3 B 1.70-1.71
B 0.0834 0.0861 0.7471  6 B 1.70-1.89
B 0.9166 0.9139 0.2529  6 B 1.70-1.89
B 0.5834 0.2471 0.5861  6 B 1.70-1.89
B 0.4166 0.7529 0.4139  6 B 1.70-1.89
B 0.7224 0.5987 0.2784  6 B 1.81-1.88
B 0.5995 0.4013 0.7216  6 B 1.81-1.88
B 0.2224 0.7784 0.0987  6 B 1.81-1.88
B 0.0995 0.2216 0.9013  6 B 1.81-1.88
B 0.2776 0.4013 0.7216  6 B 1.81-1.88
B 0.4005 0.5987 0.2784  6 B 1.81-1.88
B 0.7776 0.2216 0.9013  6 B 1.81-1.88
B 0.9005 0.7784 0.0987  6 B 1.81-1.88
B 0.3263 0.9711 0.8732  6 B 1.71-1.86
B 0.1707 0.0289 0.1268  6 B 1.71-1.86
B 0.8263 0.3732 0.4711  6 B 1.71-1.86
B 0.6707 0.6268 0.5289  6 B 1.71-1.86
B 0.6737 0.0289 0.1268  6 B 1.71-1.86
B 0.8293 0.9711 0.8732  6 B 1.71-1.86
B 0.1737 0.6268 0.5289  6 B 1.71-1.86
B 0.3293 0.3732 0.4711  6 B 1.71-1.86

Output
Its energy relative to the elements is -0.161 eV/atom. The calculated total energy is -223.243 eV/cell.



3.
A relaxed structure of Pm3ScAl4, computed with PBE.

Lattice parameters (Å, degrees): 3.5944 3.5944 14.7004 90.00 90.00 90.00
Last column: nearest neighbours and their distance in Å.
Fractional positions:
Sc 0.5000 0.5000 0.0000  8 Al 2.96
Al 0.0000 0.0000 0.8975  4 Sc 2.96, 1 Al 3.01, 4 Pm 3.23
Al 0.0000 0.0000 0.1025  4 Sc 2.96, 1 Al 3.01, 4 Pm 3.23
Al 0.0000 0.0000 0.3686  8 Pm 3.19
Al 0.0000 0.0000 0.6314  8 Pm 3.19
Pm 0.5000 0.5000 0.2378  8 Al 3.19-3.23, 1 Sc 3.50
Pm 0.5000 0.5000 0.5000  8 Al 3.19
Pm 0.5000 0.5000 0.7622  8 Al 3.19-3.23, 1 Sc 3.50

Output
Its energy relative to the elements is -0.384 eV/atom. The calculated total energy is -38.628 eV/cell.



4.
A relaxed structure of RbBa2Ge, computed with PBE.

Lattice parameters (Å, degrees): 5.0007 5.0007 13.1124 79.01 79.01 60.00
Last column: nearest neighbours and their distance in Å.
Fractional positions:
Ge 0.5000 0.5000 0.5000  6 Ba 3.31
Ba 0.1245 0.1245 0.6264  3 Ge 3.31
Ba 0.8755 0.8755 0.3736  3 Ge 3.31
Rb 0.0000 0.0000 0.0000  2 Ba 4.78, 6 Rb 5.00

Output
For the energy above the most stable polymorph in this dataset, the calculation gives 0.0419 eV/atom. Its energy relative to the elements is -0.188 eV/atom. The calculated total energy is -10.183 eV/cell.



5.
A relaxed structure of BeHgAu2, computed with PBE.

Lattice parameters (Å, degrees): 2.9327 3.6444 6.9267 73.22 90.00 90.00
Last column: nearest neighbours and their distance in Å.
Fractional positions:
Be 0.0000 0.7249 0.4145  5 Au 2.43-2.53, 2 Hg 2.59
Au 0.0000 0.9224 0.0333  1 Be 2.53
Au 0.5000 0.2779 0.3155  4 Be 2.43
Hg 0.5000 0.5748 0.7368  2 Be 2.59

Output
For the energy above the most stable polymorph in this dataset, the calculation gives 0.0577 eV/atom. Its energy relative to the elements is 0.027 eV/atom. The calculated total energy is -10.476 eV/cell.



6.
A relaxed structure of MgTaPbC2, computed with PBE.

Lattice parameters (Å, degrees): 4.2359 5.5383 4.2359 90.00 90.00 90.00
Last column: nearest neighbours and their distance in Å.
Fractional positions:
Pb 0.5000 0.5000 0.5000  4 Mg 3.00
Mg 0.0000 0.5000 0.0000  2 Ta 2.77, 4 Pb 3.00
C 0.0000 0.0000 0.5000  2 Ta 2.12
C 0.5000 0.0000 0.0000  2 Ta 2.12
Ta 0.0000 0.0000 0.0000  4 C 2.12

Output
Its energy relative to the elements is 1.363 eV/atom. The calculated total energy is -28.789 eV/cell.



7.
A relaxed structure of EuLuAlCd, computed with PBE.

Lattice parameters (Å, degrees): 5.2743 5.2743 5.2743 60.00 60.00 60.00
Last column: nearest neighbours and their distance in Å.
Fractional positions:
Eu 0.5000 0.5000 0.5000  4 Al 3.23, 4 Cd 3.23
Lu 0.0000 0.0000 0.0000  4 Cd 3.23, 4 Al 3.23
Al 0.2500 0.2500 0.2500  4 Eu 3.23, 4 Lu 3.23
Cd 0.7500 0.7500 0.7500  4 Lu 3.23, 4 Eu 3.23

Output
Its energy relative to the elements is -0.275 eV/atom. The calculated total energy is -20.555 eV/cell.



8.
A relaxed structure of TiAsI2O, computed with PBE.

Lattice parameters (Å, degrees): 5.8171 5.8171 3.7721 90.00 90.00 90.00
Last column: nearest neighbours and their distance in Å.
Fractional positions:
I 0.0000 0.5000 0.0000  2 As 2.91
I 0.5000 0.0000 0.0000  2 As 2.91
As 0.0000 0.0000 0.0000  2 O 1.89
O 0.0000 0.0000 0.5000  2 As 1.89
Ti 0.5000 0.5000 0.5000  8 I 3.47, 2 Ti 3.77

Output
For the energy above the most stable polymorph in this dataset, the calculation gives 0.7877 eV/atom. The calculated total energy is -19.680 eV/cell. The uncorrected formation energy comes out at 0.18 eV/atom.



9.
A relaxed structure of ScZn2Tc, computed with PBE.

Lattice parameters (Å, degrees): 5.0548 5.0548 5.0548 134.88 134.88 65.72
Last column: nearest neighbours and their distance in Å.
Fractional positions:
Sc 0.5000 0.5000 0.0000  8 Zn 2.74-2.88, 4 Tc 2.88
Tc 0.7500 0.2500 0.5000  8 Zn 2.74-2.88, 4 Sc 2.88
Zn 0.0000 0.0000 0.0000  4 Sc 2.74, 4 Zn 2.88, 4 Tc 2.88
Zn 0.2500 0.7500 0.5000  4 Tc 2.74, 4 Zn 2.88, 4 Sc 2.88

Output
For the energy above the most stable polymorph in this dataset, the calculation gives 0.1343 eV/atom. Its energy relative to the elements is -0.105 eV/atom. The calculated total energy is -19.666 eV/cell.



10.
A relaxed structure of Ca2Mg12ScCd3, computed with PBE.

Lattice parameters (Å, degrees): 7.7711 7.7711 7.7711 85.52 85.52 85.52
Last column: nearest neighbours and their distance in Å.
Fractional positions:
Ca 0.6314 0.6314 0.6314  9 Mg 3.11-3.44
Ca 0.3686 0.3686 0.3686  9 Mg 3.11-3.44
Mg 0.3839 0.3839 0.9246  2 Mg 2.91-3.01, 2 Cd 3.07
Mg 0.8069 0.8069 0.2961  1 Cd 2.85, 3 Mg 2.91-3.10, 1 Sc 3.01, 1 Ca 3.11
Mg 0.2961 0.8069 0.8069  1 Cd 2.85, 3 Mg 2.91-3.10, 1 Sc 3.01, 1 Ca 3.11
Mg 0.9246 0.3839 0.3839  2 Mg 2.91-3.01, 2 Cd 3.07
Mg 0.8069 0.2961 0.8069  1 Cd 2.85, 3 Mg 2.91-3.10, 1 Sc 3.01, 1 Ca 3.11
Mg 0.3839 0.9246 0.3839  2 Mg 2.91-3.01, 2 Cd 3.07
Mg 0.6161 0.6161 0.0754  2 Mg 2.91-3.01, 2 Cd 3.07
Mg 0.1931 0.1931 0.7039  1 Cd 2.85, 3 Mg 2.91-3.10, 1 Sc 3.01, 1 Ca 3.11
Mg 0.7039 0.1931 0.1931  1 Cd 2.85, 3 Mg 2.91-3.10, 1 Sc 3.01, 1 Ca 3.11
Mg 0.0754 0.6161 0.6161  2 Mg 2.91-3.01, 2 Cd 3.07
Mg 0.1931 0.7039 0.1931  1 Cd 2.85, 3 Mg 2.91-3.10, 1 Sc 3.01, 1 Ca 3.11
Mg 0.6161 0.0754 0.6161  2 Mg 2.91-3.01, 2 Cd 3.07
Sc 0.0000 0.0000 0.0000  6 Mg 3.01
Cd 0.5000 0.0000 0.0000  6 Mg 2.85-3.07
Cd 0.0000 0.5000 0.0000  6 Mg 2.85-3.07
Cd 0.0000 0.0000 0.5000  6 Mg 2.85-3.07

Output
Its energy relative to the elements is 0.104 eV/atom. The calculated total energy is -30.350 eV/cell.



11.
A relaxed structure of Y2Er2Tm7, computed with PBE.

Lattice parameters (Å, degrees): 3.5553 10.3438 10.3438 67.62 80.23 80.23
Last column: nearest neighbours and their distance in Å.
Fractional positions:
Y 0.5000 0.2521 0.7479  6 Tm 3.34-3.40, 2 Er 3.47, 2 Y 3.56
Y 0.5000 0.7479 0.2521  6 Tm 3.34-3.40, 2 Er 3.47, 2 Y 3.56
Er 0.6202 0.3832 0.3832  6 Tm 3.40-3.58, 2 Y 3.47, 2 Er 3.56
Er 0.3798 0.6168 0.6168  6 Tm 3.40-3.58, 2 Y 3.47, 2 Er 3.56
Tm 0.1689 0.0908 0.5721  7 Tm 3.27-3.56, 2 Y 3.34-3.35, 2 Er 3.40-3.41
Tm 0.8311 0.4279 0.9092  7 Tm 3.27-3.56, 2 Y 3.34-3.35, 2 Er 3.40-3.41
Tm 0.8311 0.9092 0.4279  7 Tm 3.27-3.56, 2 Y 3.34-3.35, 2 Er 3.40-3.41
Tm 0.1689 0.5721 0.0908  7 Tm 3.27-3.56, 2 Y 3.34-3.35, 2 Er 3.40-3.41
Tm 0.0000 0.0000 0.0000  4 Y 3.40, 6 Tm 3.56-3.79
Tm 0.6977 0.8015 0.8015  10 Tm 3.51-3.79, 2 Er 3.58
Tm 0.3023 0.1985 0.1985  10 Tm 3.51-3.79, 2 Er 3.58

Output
For the energy above the most stable polymorph in this dataset, the calculation gives 0.0000 eV/atom. Its energy relative to the elements is 0.134 eV/atom. The calculated total energy is -51.883 eV/cell.